[1]
# PdCl4 (PBE, relaxed)
# Total energy: -2.699 eV/atom
data_PdCl4
_space_group_name_H-M_alt 'F d d 2'
_space_group_IT_number 43
_space_group_name_Hall 'F 2 -2d'
_cell_length_a 10.920
_cell_length_b 11.478
_cell_length_c 7.153
_cell_angle_alpha 90.00
_cell_angle_beta 90.00
_cell_angle_gamma 90.00
loop_
_atom_site_label
_atom_site_type_symbol
_atom_site_fract_x
_atom_site_fract_y
_atom_site_fract_z
Pd1 Pd 0.000 0.000 0.000
Cl1 Cl 0.110 0.087 0.265
Cl2 Cl 0.119 0.088 0.780

=====

[2]
# Tl2PdPtCl6 (PBE, relaxed)
# Total energy: -3.329 eV/atom
data_Tl2PdPtCl6
_space_group_name_H-M_alt 'F m -3 m'
_space_group_IT_number 225
_space_group_name_Hall '-F 4 2 3'
_cell_length_a 9.923
_cell_length_b 9.923
_cell_length_c 9.923
_cell_angle_alpha 90.00
_cell_angle_beta 90.00
_cell_angle_gamma 90.00
loop_
_atom_site_label
_atom_site_type_symbol
_atom_site_fract_x
_atom_site_fract_y
_atom_site_fract_z
Tl1 Tl 0.250 0.250 0.250
Pd1 Pd 0.000 0.000 0.000
Pt1 Pt 0.000 0.000 0.500
Cl1 Cl 0.000 0.000 0.255

=====

[3]
# RbPdCl6 (PBE, relaxed)
# Total energy: -2.709 eV/atom
data_RbPdCl6
_space_group_name_H-M_alt 'P -1'
_space_group_IT_number 2
_cell_length_a 5.328
_cell_length_b 7.053
_cell_length_c 7.513
_cell_angle_alpha 66.77
_cell_angle_beta 73.30
_cell_angle_gamma 79.94
loop_
_space_group_symop_operation_xyz
'x,y,z'
'-x,-y,-z'
loop_
_atom_site_label
_atom_site_type_symbol
_atom_site_fract_x
_atom_site_fract_y
_atom_site_fract_z
Rb1 Rb 0.000 0.000 0.000
Pd1 Pd 0.500 0.500 0.500
Cl1 Cl 0.000 0.500 0.000
Cl2 Cl 0.214 0.287 0.499
Cl3 Cl 0.486 0.316 0.831
Cl4 Cl 0.500 0.000 0.500

=====

[4]
# Rb2SbPdCl6 (PBE, relaxed)
# Total energy: -3.402 eV/atom
data_Rb2SbPdCl6
_space_group_name_H-M_alt 'F m -3 m'
_space_group_IT_number 225
_space_group_name_Hall '-F 4 2 3'
_cell_length_a 10.405
_cell_length_b 10.405
_cell_length_c 10.405
_cell_angle_alpha 90.00
_cell_angle_beta 90.00
_cell_angle_gamma 90.00
loop_
_atom_site_label
_atom_site_type_symbol
_atom_site_fract_x
_atom_site_fract_y
_atom_site_fract_z
Rb1 Rb 0.250 0.250 0.250
Sb1 Sb 0.000 0.000 0.000
Pd1 Pd 0.000 0.000 0.500
Cl1 Cl 0.000 0.000 0.254

=====

[5]
# Rb2ScPdCl6 (PBE, relaxed)
# Total energy: -4.079 eV/atom
data_Rb2ScPdCl6
_space_group_name_H-M_alt 'F m -3 m'
_space_group_IT_number 225
_space_group_name_Hall '-F 4 2 3'
_cell_length_a 10.236
_cell_length_b 10.236
_cell_length_c 10.236
_cell_angle_alpha 90.00
_cell_angle_beta 90.00
_cell_angle_gamma 90.00
loop_
_atom_site_label
_atom_site_type_symbol
_atom_site_fract_x
_atom_site_fract_y
_atom_site_fract_z
Rb1 Rb 0.250 0.250 0.250
Sc1 Sc 0.000 0.000 0.000
Pd1 Pd 0.000 0.000 0.500
Cl1 Cl 0.000 0.000 0.243

=====

[6]
# Rb2SnPdCl6 (PBE, relaxed)
# Total energy: -3.448 eV/atom
data_Rb2SnPdCl6
_space_group_name_H-M_alt 'F m -3 m'
_space_group_IT_number 225
_space_group_name_Hall '-F 4 2 3'
_cell_length_a 10.367
_cell_length_b 10.367
_cell_length_c 10.367
_cell_angle_alpha 90.00
_cell_angle_beta 90.00
_cell_angle_gamma 90.00
loop_
_atom_site_label
_atom_site_type_symbol
_atom_site_fract_x
_atom_site_fract_y
_atom_site_fract_z
Rb1 Rb 0.250 0.250 0.250
Sn1 Sn 0.000 0.000 0.000
Pd1 Pd 0.000 0.000 0.500
Cl1 Cl 0.000 0.000 0.255

=====

[7]
# Rb2TePdCl6 (PBE, relaxed)
# Total energy: -3.180 eV/atom
data_Rb2TePdCl6
_space_group_name_H-M_alt 'F m -3 m'
_space_group_IT_number 225
_space_group_name_Hall '-F 4 2 3'
_cell_length_a 10.425
_cell_length_b 10.425
_cell_length_c 10.425
_cell_angle_alpha 90.00
_cell_angle_beta 90.00
_cell_angle_gamma 90.00
loop_
_atom_site_label
_atom_site_type_symbol
_atom_site_fract_x
_atom_site_fract_y
_atom_site_fract_z
Rb1 Rb 0.250 0.250 0.250
Te1 Te 0.000 0.000 0.000
Pd1 Pd 0.000 0.000 0.500
Cl1 Cl 0.000 0.000 0.258

=====

[8]
# PdSe2S4Cl2 (PBE, relaxed)
# Total energy: -3.746 eV/atom
data_PdSe2S4Cl2
_space_group_name_H-M_alt 'P -1'
_space_group_IT_number 2
_cell_length_a 4.643
_cell_length_b 7.340
_cell_length_c 7.923
_cell_angle_alpha 65.63
_cell_angle_beta 83.27
_cell_angle_gamma 83.31
loop_
_space_group_symop_operation_xyz
'x,y,z'
'-x,-y,-z'
loop_
_atom_site_label
_atom_site_type_symbol
_atom_site_fract_x
_atom_site_fract_y
_atom_site_fract_z
Pd1 Pd 0.000 0.000 0.000
Se1 Se 0.177 0.735 0.279
S1 S 0.023 0.528 0.738
S2 S 0.131 0.236 0.484
Cl1 Cl 0.364 0.858 0.854

=====

[9]
# PdSeCl (PBE, relaxed)
# Total energy: -3.922 eV/atom
data_PdSeCl
_space_group_name_H-M_alt 'P m m n'
_space_group_IT_number 59
_cell_length_a 3.563
_cell_length_b 5.364
_cell_length_c 7.681
_cell_angle_alpha 90.00
_cell_angle_beta 90.00
_cell_angle_gamma 90.00
loop_
_space_group_symop_operation_xyz
'x,y,z'
'-x,-y,-z'
'-x+1/2,-y+1/2,z'
'x+1/2,y+1/2,-z'
'x+1/2,-y,-z'
'-x+1/2,y,z'
'-x,y+1/2,-z'
'x,-y+1/2,z'
loop_
_atom_site_label
_atom_site_type_symbol
_atom_site_fract_x
_atom_site_fract_y
_atom_site_fract_z
Pd1 Pd 0.250 0.250 0.133
Se1 Se 0.250 0.750 0.087
Cl1 Cl 0.250 0.750 0.650

=====

[10]
# Sm2Pd2Cl (PBE, relaxed)
# Total energy: -4.957 eV/atom
data_Sm2Pd2Cl
_space_group_name_H-M_alt 'I 4/m m m'
_space_group_IT_number 139
_space_group_name_Hall '-I 4 2'
_cell_length_a 5.185
_cell_length_b 5.185
_cell_length_c 10.050
_cell_angle_alpha 90.00
_cell_angle_beta 90.00
_cell_angle_gamma 90.00
loop_
_atom_site_label
_atom_site_type_symbol
_atom_site_fract_x
_atom_site_fract_y
_atom_site_fract_z
Sm1 Sm 0.000 0.500 0.250
Pd1 Pd 0.000 0.000 0.127
Cl1 Cl 0.000 0.000 0.500

=====

[11]
# Te2Pd3Cl2 (PBE, relaxed)
# Total energy: -3.877 eV/atom
data_Te2Pd3Cl2
_space_group_name_H-M_alt 'I 21 3'
_space_group_IT_number 199
_space_group_name_Hall 'I 2b 2c 3'
_cell_length_a 8.404
_cell_length_b 8.404
_cell_length_c 8.404
_cell_angle_alpha 90.00
_cell_angle_beta 90.00
_cell_angle_gamma 90.00
loop_
_atom_site_label
_atom_site_type_symbol
_atom_site_fract_x
_atom_site_fract_y
_atom_site_fract_z
Te1 Te 0.026 0.474 0.526
Pd1 Pd 0.000 0.250 0.774
Cl1 Cl 0.201 0.201 0.201

=====

[12]
# Te6PdCl2 (PBE, relaxed)
# Total energy: -3.259 eV/atom
data_Te6PdCl2
_space_group_name_H-M_alt 'P -1'
_space_group_IT_number 2
_cell_length_a 4.807
_cell_length_b 8.335
_cell_length_c 8.784
_cell_angle_alpha 66.58
_cell_angle_beta 80.12
_cell_angle_gamma 82.58
loop_
_space_group_symop_operation_xyz
'x,y,z'
'-x,-y,-z'
loop_
_atom_site_label
_atom_site_type_symbol
_atom_site_fract_x
_atom_site_fract_y
_atom_site_fract_z
Te1 Te 0.021 0.027 0.277
Te2 Te 0.199 0.251 0.759
Te3 Te 0.203 0.708 0.986
Pd1 Pd 0.000 0.500 0.500
Cl1 Cl 0.327 0.382 0.335

=====

[13]
# Te2PdCl10 (PBE, relaxed)
# Total energy: -2.861 eV/atom
data_Te2PdCl10
_space_group_name_H-M_alt 'P 1 21/c 1'
_space_group_IT_number 14
_cell_length_a 13.925
_cell_length_b 7.260
_cell_length_c 20.772
_cell_angle_alpha 90.00
_cell_angle_beta 131.78
_cell_angle_gamma 90.00
loop_
_space_group_symop_operation_xyz
'x,y,z'
'-x,-y,-z'
'-x,y+1/2,-z+1/2'
'x,-y+1/2,z+1/2'
loop_
_atom_site_label
_atom_site_type_symbol
_atom_site_fract_x
_atom_site_fract_y
_atom_site_fract_z
Te1 Te 0.158 0.099 0.217
Te2 Te 0.293 0.068 0.046
Pd1 Pd 0.035 0.747 0.520
Cl1 Cl 0.007 0.719 0.617
Cl2 Cl 0.040 0.066 0.260
Cl3 Cl 0.066 0.723 0.924
Cl4 Cl 0.183 0.191 0.590
Cl5 Cl 0.247 0.114 0.788
Cl6 Cl 0.253 0.687 0.629
Cl7 Cl 0.333 0.178 0.495
Cl8 Cl 0.335 0.573 0.838
Cl9 Cl 0.394 0.648 0.522
Cl10 Cl 0.480 0.120 0.190

=====

[14]
# TlPdCl3 (PBE, relaxed)
# Total energy: -3.244 eV/atom
data_TlPdCl3
_space_group_name_H-M_alt 'P n m a'
_space_group_IT_number 62
_cell_length_a 8.615
_cell_length_b 4.440
_cell_length_c 14.443
_cell_angle_alpha 90.00
_cell_angle_beta 90.00
_cell_angle_gamma 90.00
loop_
_space_group_symop_operation_xyz
'x,y,z'
'-x,-y,-z'
'-x+1/2,-y,z+1/2'
'x+1/2,y,-z+1/2'
'x+1/2,-y+1/2,-z+1/2'
'-x+1/2,y+1/2,z+1/2'
'-x,y+1/2,-z'
'x,-y+1/2,z'
loop_
_atom_site_label
_atom_site_type_symbol
_atom_site_fract_x
_atom_site_fract_y
_atom_site_fract_z
Tl1 Tl 0.082 0.250 0.201
Pd1 Pd 0.215 0.750 0.465
Cl1 Cl 0.094 0.750 0.609
Cl2 Cl 0.199 0.250 0.812
Cl3 Cl 0.201 0.750 0.985

=====

[15]
# Tl4Pd3Cl10 (PBE, relaxed)
# Total energy: -3.301 eV/atom
data_Tl4Pd3Cl10
_space_group_name_H-M_alt 'I -4 2 d'
_space_group_IT_number 122
_space_group_name_Hall 'I -4 2bw'
_cell_length_a 16.136
_cell_length_b 16.136
_cell_length_c 14.187
_cell_angle_alpha 90.00
_cell_angle_beta 90.00
_cell_angle_gamma 90.00
loop_
_atom_site_label
_atom_site_type_symbol
_atom_site_fract_x
_atom_site_fract_y
_atom_site_fract_z
Tl1 Tl 0.000 0.000 0.139
Tl2 Tl 0.046 0.245 0.354
Tl3 Tl 0.243 0.250 0.125
Pd1 Pd 0.014 0.108 0.613
Pd2 Pd 0.101 0.750 0.125
Cl1 Cl 0.044 0.250 0.125
Cl2 Cl 0.081 0.635 0.517
Cl3 Cl 0.094 0.618 0.749
Cl4 Cl 0.102 0.649 0.243
Cl5 Cl 0.114 0.619 0.975
Cl6 Cl 0.245 0.750 0.125

=====

[16]
# Tl3PdCl (PBE, relaxed)
# Total energy: -2.585 eV/atom
data_Tl3PdCl
_space_group_name_H-M_alt 'P m -3 m'
_space_group_IT_number 221
_space_group_name_Hall '-P 4 2 3'
_cell_length_a 5.778
_cell_length_b 5.778
_cell_length_c 5.778
_cell_angle_alpha 90.00
_cell_angle_beta 90.00
_cell_angle_gamma 90.00
loop_
_atom_site_label
_atom_site_type_symbol
_atom_site_fract_x
_atom_site_fract_y
_atom_site_fract_z
Tl1 Tl 0.000 0.000 0.500
Pd1 Pd 0.500 0.500 0.500
Cl1 Cl 0.000 0.000 0.000

=====

[17]
# ZnPdCl6 (PBE, relaxed)
# Total energy: -2.697 eV/atom
data_ZnPdCl6
_space_group_name_H-M_alt 'R -3'
_space_group_IT_number 148
_space_group_name_Hall '-R 3'
_cell_length_a 6.0111
_cell_length_b 6.0111
_cell_length_c 16.3881
_cell_angle_alpha 90.00
_cell_angle_beta 90.00
_cell_angle_gamma 120.00
loop_
_atom_site_label
_atom_site_type_symbol
_atom_site_fract_x
_atom_site_fract_y
_atom_site_fract_z
Zn1 Zn 0.0000 0.0000 0.0000
Pd1 Pd 0.0000 0.0000 0.5000
Cl1 Cl 0.0045 0.6802 0.4176

=====

[18]
# Pm3Cl2 (PBE, relaxed)
# Total energy: -4.652 eV/atom
data_Pm3Cl2
_space_group_name_H-M_alt 'R -3 c'
_space_group_IT_number 167
_space_group_name_Hall '-R 3 2"c'
_cell_length_a 7.0426
_cell_length_b 7.0426
_cell_length_c 18.9840
_cell_angle_alpha 90.00
_cell_angle_beta 90.00
_cell_angle_gamma 120.00
loop_
_atom_site_label
_atom_site_type_symbol
_atom_site_fract_x
_atom_site_fract_y
_atom_site_fract_z
Pm1 Pm 0.0000 0.3408 0.2500
Cl1 Cl 0.0000 0.0000 0.1656